Below is a geometry-optimized ZnBi2B structure, with properties calculated at the PBE-GGA level.

Properties
The energy above the most stable polymorph in this dataset comes out at 0.00 kJ/mol of atoms. The value obtained for the total magnetization is 0.00 μB per cell. As for the formation enthalpy at 0 K: 0.54 eV/atom. For the total energy, the calculation gives -3.39 eV/atom.

CIF file:
```
data_ZnBi2B
_symmetry_space_group_name_H-M 'I -4 2 d'
_symmetry_Int_Tables_number 122
_symmetry_space_group_name_Hall 'I -4 2bw'
_cell_length_a 6.0800
_cell_length_b 6.0800
_cell_length_c 11.3295
_cell_angle_alpha 90.00
_cell_angle_beta 90.00
_cell_angle_gamma 90.00
loop_
_atom_site_label
_atom_site_fract_x
_atom_site_fract_y
_atom_site_fract_z
Zn1 0.0000 0.0000 0.0000
Bi1 0.2033 0.2500 0.6250
B1 0.0000 0.0000 0.5000
```